Entry 1:
{"formula": "ErSi2NiPt2", "functional": "PBE", "state": "relaxed", "raw_formation_energy_ev_per_atom": -0.938, "space_group": "No. 164", "lattice": [[4.129, 0.000, 0.000], [-2.064, 3.576, 0.000], [0.000, 0.000, 6.604]], "species": ["Er", "Si", "Si", "Ni", "Pt", "Pt"], "frac_coords": [[0.000, 0.000, 0.000], [0.333, 0.667, 0.320], [0.667, 0.333, 0.680], [0.000, 0.000, 0.500], [0.333, 0.667, 0.709], [0.667, 0.333, 0.291]]}

---

Entry 2:
{"formula": "ErSi2NiPt4", "functional": "PBE", "state": "relaxed", "raw_formation_energy_ev_per_atom": -0.574, "space_group": "No. 123", "lattice": [[3.964, 0.000, 0.000], [0.000, 3.964, 0.000], [0.000, 0.000, 9.123]], "species": ["Er", "Si", "Si", "Ni", "Pt", "Pt", "Pt", "Pt"], "frac_coords": [[0.000, 0.000, 0.000], [0.500, 0.500, 0.377], [0.500, 0.500, 0.623], [0.000, 0.000, 0.500], [0.000, 0.500, 0.238], [0.000, 0.500, 0.762], [0.500, 0.000, 0.238], [0.500, 0.000, 0.762]]}

---

Entry 3:
{"formula": "Er2Si3Ni12Pt", "functional": "PBE", "state": "relaxed", "raw_formation_energy_ev_per_atom": -0.127, "space_group": "No. 166", "lattice": [[4.247, 2.452, 3.902], [-4.247, 2.452, 3.902], [0.000, -4.904, 3.902]], "species": ["Er", "Er", "Si", "Si", "Si", "Ni", "Ni", "Ni", "Ni", "Ni", "Ni", "Ni", "Ni", "Ni", "Ni", "Ni", "Ni", "Pt"], "frac_coords": [[0.180, 0.180, 0.180], [0.820, 0.820, 0.820], [0.000, 0.500, 0.500], [0.500, 0.000, 0.500], [0.500, 0.500, 0.000], [0.107, 0.107, 0.610], [0.107, 0.610, 0.107], [0.193, 0.693, 0.693], [0.307, 0.307, 0.807], [0.307, 0.807, 0.307], [0.390, 0.893, 0.893], [0.610, 0.107, 0.107], [0.693, 0.193, 0.693], [0.693, 0.693, 0.193], [0.807, 0.307, 0.307], [0.893, 0.390, 0.893], [0.893, 0.893, 0.390], [0.500, 0.500, 0.500]]}

---

Entry 4:
{"formula": "ErNiSnPt", "functional": "PBE", "state": "relaxed", "e_tot_ev_per_fu": -23.22, "space_group": "No. 216", "lattice": [[0.000, 3.322, 3.322], [3.322, 0.000, 3.322], [3.322, 3.322, 0.000]], "species": ["Er", "Ni", "Sn", "Pt"], "frac_coords": [[0.000, 0.000, 0.000], [0.250, 0.250, 0.250], [0.500, 0.500, 0.500], [0.750, 0.750, 0.750]]}

---

Entry 5:
{"formula": "TbErNiPt", "functional": "PBE", "state": "relaxed", "space_group": "No. 216", "polymorph_energy_mev_per_atom": 62, "lattice": [[0.000, 3.440, 3.440], [3.440, 0.000, 3.440], [3.440, 3.440, 0.000]], "species": ["Tb", "Er", "Ni", "Pt"], "frac_coords": [[0.000, 0.000, 0.000], [0.500, 0.500, 0.500], [0.750, 0.750, 0.750], [0.250, 0.250, 0.250]]}

---

Entry 6:
{"formula": "TbErNiPt", "functional": "PBE", "state": "relaxed", "space_group": "No. 38", "polymorph_energy_mev_per_atom": 0, "lattice": [[4.322, 0.000, 0.000], [0.000, 1.906, 5.137], [0.000, -1.906, 5.137]], "species": ["Tb", "Er", "Ni", "Pt"], "frac_coords": [[0.000, 0.000, 0.000], [0.500, 0.719, 0.719], [0.000, 0.278, 0.278], [0.500, 0.436, 0.436]]}

---

Entry 7:
{"formula": "ErThNiPt", "functional": "PBE", "state": "relaxed", "space_group": "No. 38", "polymorph_energy_mev_per_atom": 0, "lattice": [[4.285, 0.000, 0.000], [0.000, 1.878, 5.463], [0.000, -1.878, 5.463]], "species": ["Er", "Th", "Ni", "Pt"], "frac_coords": [[0.000, 0.000, 0.000], [0.500, 0.723, 0.723], [0.000, 0.266, 0.266], [0.500, 0.444, 0.444]]}

---

Entry 8:
{"formula": "ErThNiPt", "functional": "PBE", "state": "relaxed", "space_group": "No. 216", "polymorph_energy_mev_per_atom": 144, "lattice": [[0.000, 3.510, 3.510], [3.510, 0.000, 3.510], [3.510, 3.510, 0.000]], "species": ["Er", "Th", "Ni", "Pt"], "frac_coords": [[0.000, 0.000, 0.000], [0.500, 0.500, 0.500], [0.750, 0.750, 0.750], [0.250, 0.250, 0.250]]}

---

| no. | D(E_F) (states/eV per cell) |
| --- | --- |
| 1 | 1.8 |
| 2 | 4.0 |
| 3 | 16.1 |
| 4 | 3.0 |
| 5 | 3.6 |
| 6 | 2.7 |
| 7 | 3.2 |
| 8 | 3.1 |